This record from Alexandria via LeMat-Bulk describes RbMo2SO after structural relaxation. The functional is PBE with a Hubbard U.

Unit cell a=4.9624 b=4.9624 c=6.6265 alpha=90.00 beta=90.00 gamma=90.00
With the nearest neighbours (Å) after each atom.
Sites, in units of the cell vectors:
O (0.5000, 0.5000, 0.5000)  4 Rb 3.51
Mo (0.0000, 0.5000, 0.0000)  2 S 2.48
Mo (0.5000, 0.0000, 0.0000)  2 S 2.48
S (0.0000, 0.0000, 0.0000)  4 Mo 2.48
Rb (0.0000, 0.0000, 0.5000)  2 S 3.31, 4 O 3.51

N(E_F): 1.621 states/eV per atom
size of the total moment: 10.2 μB per cell
density: 3.3 g cm⁻³
space group: P4/mmm
raw total energy: -4.155 eV/atom